Entry from Alexandria via LeMat-Bulk: a PBEsol-optimized structure of AgAsRhSe2 (SCAN).

## Properties
total energy: -119.2 eV/cell
space-group type: P4/mmm, No. 123
V: 22.83 Å³/atom
total moment: 0.002 μB/f.u.

The structure in POSCAR format:
```
AgAsRhSe2
1.0
4.887 0.000 0.000
0.000 4.887 0.000
0.000 0.000 4.780
Ag As Rh Se
1 1 1 2
Direct
0.000 0.000 0.000
0.000 0.000 0.500
0.500 0.500 0.500
0.000 0.500 0.000
0.500 0.000 0.000
```